Record 1
PBE-GGA SmTlTc, relaxed; excess energy over the best structure of this formula in the dataset = 0.000 eV per atom
1.0
0.0000 3.3931 3.3931
3.3931 0.0000 3.3931
3.3931 3.3931 0.0000
Sm Tl Tc
1 1 1
direct
0.0000 0.0000 0.0000
0.2500 0.2500 0.2500
0.5000 0.5000 0.5000


Record 2
PBE-GGA SmUTc2, relaxed; ΔH_f (0 K) = -0.082 eV per atom
1.0
3.3647 0.0000 0.0000
0.0000 3.3647 0.0000
0.0000 0.0000 7.1988
Sm U Tc
1 1 2
direct
0.0000 0.0000 0.0000
0.0000 0.0000 0.5000
0.5000 0.5000 0.3003
0.5000 0.5000 0.6997